(1)
LaFe2AsN after structural relaxation. Source: Alexandria via LeMat-Bulk, functional PBE.

Results
Uncorrected formation energy, eV per atom: -0.713

a = 3.8728 Å, b = 10.8305 Å, c = 6.9298 Å
α = 90.00°, β = 90.00°, γ = 90.00°
Space group Cmcm (No. 63)
Symmetry-distinct sites (fractional):
1 La 0.0000 0.0515 0.2500 [4 per cell]
2 Fe 0.0000 0.3403 0.0547 [8 per cell]
3 As 0.0000 0.2268 0.7500 [4 per cell]
4 N 0.0000 0.5000 0.0000 [4 per cell]

---

(2)
La2FeNi3As4 after structural relaxation. Source: Alexandria via LeMat-Bulk, functional PBE.

Results
ΔE_f, eV per atom: -0.814

a = 4.2566 Å, b = 4.2566 Å, c = 9.5917 Å
α = 90.00°, β = 90.00°, γ = 90.00°
Space group P-4m2 (No. 115)
Symmetry-distinct sites (fractional):
1 La 0.0000 0.5000 0.2488 [2 per cell]
2 Fe 0.0000 0.0000 0.5000 [1 per cell]
3 Ni 0.0000 0.5000 0.8838 [2 per cell]
4 Ni 0.5000 0.5000 0.5000 [1 per cell]
5 As 0.0000 0.0000 0.0000 [1 per cell]
6 As 0.0000 0.5000 0.6289 [2 per cell]
7 As 0.5000 0.5000 0.0000 [1 per cell]

---

Number 1: total moment 0.00 μB per formula unit, total DFT energy (no corrections) -7.678 eV/atom. Number 2: total moment 2.22 μB per formula unit, total DFT energy (no corrections) -6.240 eV/atom.